Record 1
A plane-wave DFT calculation with PBE-GGA was carried out for K6Na6Sr after structural relaxation.

a b c (Å): 7.542 10.317 10.317
angles (deg): 83.17 68.56 68.56
Atoms (fractional coordinates):
Na 0.500 0.225 0.775
Na 0.000 0.500 0.000
Na 0.500 0.500 0.000
Na 0.000 0.000 0.500
Na 0.500 0.775 0.225
Na 0.500 0.000 0.500
Sr 0.000 0.000 0.000
K 0.000 0.336 0.664
K 0.658 0.342 0.342
K 0.321 0.179 0.179
K 0.000 0.664 0.336
K 0.679 0.821 0.821
K 0.342 0.658 0.658

Formation energy from the elements = 49 meV/atom


Record 2
A plane-wave DFT calculation with PBE-GGA was carried out for K2Na5Sr2 after structural relaxation.

a b c (Å): 8.195 11.986 10.060
angles (deg): 90.00 65.96 90.00
Atoms (fractional coordinates):
Na 0.909 0.750 0.682
Na 0.909 0.250 0.682
Na 0.091 0.750 0.318
Na 0.000 0.000 0.000
Na 0.591 0.250 0.318
Na 0.500 0.500 0.000
Na 0.409 0.250 0.682
Na 0.091 0.250 0.318
Na 0.591 0.750 0.318
Na 0.409 0.750 0.682
K 0.499 0.155 0.000
K 0.999 0.345 0.000
K 0.501 0.845 0.000
K 0.001 0.655 0.000
Sr 0.259 0.500 0.482
Sr 0.759 0.000 0.482
Sr 0.741 0.500 0.518
Sr 0.241 0.000 0.518

Formation energy from the elements = 106 meV/atom


Record 3
A plane-wave DFT calculation with PBE-GGA was carried out for KNa5Sr4 after structural relaxation.

a b c (Å): 4.529 4.529 22.965
angles (deg): 90.00 90.00 90.00
Atoms (fractional coordinates):
Sr 0.000 0.000 0.403
Sr 0.000 0.000 0.597
Sr 0.000 0.000 0.210
Sr 0.000 0.000 0.790
Na 0.500 0.500 0.500
Na 0.500 0.500 0.306
Na 0.500 0.500 0.694
Na 0.500 0.500 0.111
Na 0.500 0.500 0.889
K 0.000 0.000 0.000

Formation energy from the elements = 25 meV/atom


Record 4
A plane-wave DFT calculation with PBE-GGA was carried out for KNa2Sr6 after structural relaxation.

a b c (Å): 4.411 8.082 14.329
angles (deg): 75.18 81.15 74.16
Atoms (fractional coordinates):
Na 0.352 0.085 0.211
Na 0.648 0.915 0.789
Sr 0.018 0.316 0.648
Sr 0.312 0.791 0.586
Sr 0.982 0.684 0.352
Sr 0.688 0.209 0.414
Sr 0.677 0.520 0.127
Sr 0.323 0.480 0.873
K 0.000 0.000 0.000

Formation energy from the elements = 32 meV/atom


Record 5
A plane-wave DFT calculation with PBE-GGA was carried out for K5Na2Sr after structural relaxation.

a b c (Å): 4.360 10.806 10.806
angles (deg): 78.47 77.78 77.78
Atoms (fractional coordinates):
K 0.629 0.606 0.130
K 0.629 0.130 0.606
K 0.371 0.870 0.394
K 0.000 0.500 0.500
K 0.371 0.394 0.870
Na 0.262 0.230 0.230
Na 0.738 0.770 0.770
Sr 0.000 0.000 0.000

Formation energy from the elements = 62 meV/atom


Record 6
A plane-wave DFT calculation with PBE-GGA was carried out for KNa10Sr6 after structural relaxation.

a b c (Å): 7.627 11.049 11.049
angles (deg): 120.00 90.00 90.00
Atoms (fractional coordinates):
Na 0.500 0.333 0.667
Na 0.000 0.333 0.667
Na 0.828 0.703 0.703
Na 0.172 0.000 0.703
Na 0.828 0.000 0.297
Na 0.500 0.667 0.333
Na 0.172 0.297 0.297
Na 0.172 0.703 0.000
Na 0.000 0.667 0.333
Na 0.828 0.297 0.000
Sr 0.313 0.365 0.000
Sr 0.313 0.000 0.365
Sr 0.313 0.635 0.635
Sr 0.687 0.635 0.000
Sr 0.687 0.365 0.365
Sr 0.687 0.000 0.635
K 0.500 0.000 0.000

Formation energy from the elements = 98 meV/atom


Record 7
A plane-wave DFT calculation with PBE-GGA was carried out for KNa2Sr2 after structural relaxation.

a b c (Å): 10.363 10.363 4.741
angles (deg): 90.00 90.00 90.00
Atoms (fractional coordinates):
Sr 0.838 0.338 0.500
Sr 0.162 0.662 0.500
Sr 0.338 0.162 0.500
Sr 0.662 0.838 0.500
Na 0.870 0.630 0.000
Na 0.130 0.370 0.000
Na 0.370 0.870 0.000
Na 0.630 0.130 0.000
K 0.000 0.000 0.000
K 0.500 0.500 0.000

ΔE to the lowest computed polymorph = 26.0 meV per atom
Formation energy from the elements = 75 meV/atom


Record 8
A plane-wave DFT calculation with PBE-GGA was carried out for K6Na4Sr after structural relaxation.

a b c (Å): 6.107 6.107 18.669
angles (deg): 99.41 99.41 90.00
Atoms (fractional coordinates):
Na 0.821 0.821 0.641
Na 0.542 0.542 0.085
Na 0.458 0.458 0.915
Na 0.179 0.179 0.359
K 0.250 0.750 0.500
K 0.109 0.609 0.219
K 0.391 0.891 0.781
K 0.750 0.250 0.500
K 0.891 0.391 0.781
K 0.609 0.109 0.219
Sr 0.000 0.000 0.000

Formation energy from the elements = 125 meV/atom


> What is the formula in the eighth record?

K6Na4Sr


> Which formula does entry 1 have?

K6Na6Sr


> What is the formation energy from the elements in the second record?

106 meV/atom